{
  "formula": "AlSi2I2",
  "functional": "PBE-GGA",
  "state": "relaxed",
  "relative_energy_ev_per_atom": 0.454,
  "spacegroup": "No. 127",
  "cell": [[8.7932, 0.0000, 0.0000], [0.0000, 8.7932, 0.0000], [0.0000, 0.0000, 3.6362]],
  "species": ["Al", "Al", "Si", "Si", "Si", "Si", "I", "I", "I", "I"],
  "frac_coords": [[0.0000, 0.0000, 0.0000], [0.5000, 0.5000, 0.0000], [0.1895, 0.3105, 0.5000], [0.3105, 0.8105, 0.5000], [0.6895, 0.1895, 0.5000], [0.8105, 0.6895, 0.5000], [0.1461, 0.6461, 0.0000], [0.3539, 0.1461, 0.0000], [0.6461, 0.8539, 0.0000], [0.8539, 0.3539, 0.0000]]
}

***

{
  "formula": "Tb3InGa3",
  "functional": "PBE-GGA",
  "state": "relaxed",
  "ef_ev_per_atom": -0.58,
  "spacegroup": "No. 12",
  "cell": [[5.5882, -2.2204, 0.0000], [5.5882, 2.2204, 0.0000], [-4.7875, 0.0000, 13.4485]],
  "species": ["Tb", "Tb", "Tb", "Tb", "Tb", "Tb", "In", "In", "Ga", "Ga", "Ga", "Ga", "Ga", "Ga"],
  "frac_coords": [[0.0124, 0.0124, 0.3695], [0.1091, 0.1091, 0.9268], [0.2340, 0.2340, 0.2180], [0.7660, 0.7660, 0.7820], [0.8909, 0.8909, 0.0732], [0.9876, 0.9876, 0.6305], [0.2694, 0.2694, 0.6072], [0.7306, 0.7306, 0.3928], [0.3800, 0.3800, 0.4500], [0.3915, 0.3915, 0.9259], [0.4867, 0.4867, 0.7799], [0.5133, 0.5133, 0.2201], [0.6085, 0.6085, 0.0741], [0.6200, 0.6200, 0.5500]]
}